# 1
Here is Ho3Tl4Te8Pb after structural relaxation from the Alexandria database. Energies are from PBE.

Geometry as POSCAR:
```
Ho3Tl4Te8Pb
1.0
4.513 2.606 7.935
-4.513 2.606 7.935
0.000 -5.212 7.935
Ho Tl Te Pb
3 4 8 1
Cartesian
-2.257 -1.303 7.935 Ho
-2.257 1.303 15.870 Ho
0.000 2.606 7.935 Ho
-4.513 0.000 11.902 Tl
-2.257 1.303 3.967 Tl
2.257 1.303 3.967 Tl
0.000 0.000 11.902 Tl
0.000 -2.490 9.676 Te
-2.157 1.245 9.676 Te
0.000 0.000 6.231 Te
-2.157 -1.245 14.129 Te
2.157 1.245 9.676 Te
0.000 0.000 17.574 Te
2.157 -1.245 14.129 Te
0.000 2.490 14.129 Te
0.000 0.000 0.000 Pb
```

Calculated values
- E_form (uncorrected) (eV/atom) = -0.847
- calculated density (g cm⁻³) = 7.53


# 2
Here is LaMgPCl2 after structural relaxation from the Alexandria database. Energies are from PBE.

Geometry as POSCAR:
```
LaMgPCl2
1.0
4.646 0.000 0.000
0.000 4.646 0.000
0.000 0.000 5.475
La Mg P Cl
1 1 1 2
Cartesian
0.000 0.000 0.000 La
2.323 2.323 2.738 Mg
2.323 2.323 0.000 P
0.000 2.323 2.738 Cl
2.323 0.000 2.738 Cl
```

Calculated values
- E_form (uncorrected) (eV/atom) = -1.312
- relative energy among the computed polymorphs (meV per atom) = 0.0
- calculated density (g cm⁻³) = 3.72


# 3
Here is RbTmCd2Cl8 after structural relaxation from the Alexandria database. Energies are from PBE.

Geometry as POSCAR:
```
RbTmCd2Cl8
1.0
6.583 0.000 0.000
1.319 6.453 0.000
1.817 1.496 8.887
Rb Tm Cd Cl
1 1 2 8
Cartesian
0.000 0.000 0.000 Rb
0.908 0.748 4.444 Tm
3.935 3.212 1.978 Cd
5.784 4.737 6.909 Cd
3.496 5.893 6.336 Cl
3.238 5.678 2.558 Cl
2.926 2.377 4.196 Cl
2.632 2.131 0.085 Cl
7.086 5.818 8.802 Cl
6.792 5.572 4.692 Cl
6.480 2.271 6.329 Cl
6.222 2.056 2.551 Cl
```

Calculated values
- E_form (uncorrected) (eV/atom) = -1.602
- calculated density (g cm⁻³) = 3.36


# 4
Here is CaBeSeN2 after structural relaxation from the Alexandria database. Energies are from PBE.

Geometry as POSCAR:
```
CaBeSeN2
1.0
3.803 0.000 0.000
0.000 3.803 0.000
0.000 0.000 4.783
Ca Be Se N
1 1 1 2
Cartesian
0.000 0.000 0.000 Ca
1.901 1.901 2.391 Be
1.901 1.901 0.000 Se
0.000 1.901 2.391 N
1.901 0.000 2.391 N
```

Calculated values
- E_form (uncorrected) (eV/atom) = 0.462
- relative energy among the computed polymorphs (meV per atom) = 0.0
- calculated density (g cm⁻³) = 3.75


# 5
Here is BiSOF2 after structural relaxation from the Alexandria database. Energies are from PBE.

Geometry as POSCAR:
```
BiSOF2
1.0
4.581 0.000 0.000
0.000 4.581 0.000
0.000 0.000 4.420
Bi S O F
1 1 1 2
Cartesian
0.000 0.000 0.000 Bi
2.290 2.290 2.210 S
0.000 0.000 2.210 O
0.000 2.290 0.000 F
2.290 0.000 0.000 F
```

Calculated values
- E_form (uncorrected) (eV/atom) = -0.786
- relative energy among the computed polymorphs (meV per atom) = 0.0
- calculated density (g cm⁻³) = 5.28


# 6
Here is MgTaCu after structural relaxation from the Alexandria database. Energies are from PBE.

Geometry as POSCAR:
```
MgTaCu
1.0
2.951 0.000 0.000
0.000 3.653 0.000
-0.016 0.000 9.419
Mg Ta Cu
2 2 2
Cartesian
0.000 0.000 0.000 Mg
-0.009 0.000 6.459 Mg
1.467 1.827 4.589 Ta
2.945 0.000 3.025 Ta
1.471 1.827 1.547 Cu
1.465 1.827 7.811 Cu
```

Calculated values
- formation enthalpy at 0 K (eV per atom) = 0.150
- relative energy among the computed polymorphs (meV per atom) = 68.4
- calculated density (g cm⁻³) = 8.79


# 7
Here is UH3F6 after structural relaxation from the Alexandria database. Energies are from PBE.

Geometry as POSCAR:
```
UH3F6
1.0
4.979 -2.814 0.000
4.979 2.814 0.000
-3.085 0.000 5.363
U H F
1 3 6
Cartesian
0.000 0.000 0.000 U
2.804 0.000 3.273 H
3.437 0.000 2.682 H
4.069 0.000 2.090 H
2.103 1.313 3.884 F
2.019 0.000 0.301 F
4.770 1.313 1.480 F
2.103 -1.313 3.884 F
4.855 0.000 5.063 F
4.770 -1.313 1.480 F
```

Calculated values
- relative energy among the computed polymorphs (meV per atom) = 11.0
- calculated density (g cm⁻³) = 3.92


# 8
Here is Ba2Ac3Sb3O2 after structural relaxation from the Alexandria database. Energies are from PBE.

Geometry as POSCAR:
```
Ba2Ac3Sb3O2
1.0
-2.486 2.486 13.412
2.486 -2.486 13.412
2.486 2.486 -13.412
Ba Ac Sb O
2 3 3 2
Cartesian
2.486 0.000 6.706 Ba
0.000 2.486 6.706 Ba
0.000 0.000 0.000 Ac
0.000 0.000 10.030 Ac
0.000 0.000 16.794 Ac
0.000 0.000 3.566 Sb
0.000 0.000 13.412 Sb
0.000 0.000 23.257 Sb
0.000 0.000 7.700 O
0.000 0.000 19.124 O
```

Calculated values
- E_form (uncorrected) (eV/atom) = -1.790
- calculated density (g cm⁻³) = 6.78


# 9
Here is ZnFe2BiBr after structural relaxation from the Alexandria database. Energies are from PBE.

Geometry as POSCAR:
```
ZnFe2BiBr
1.0
4.800 0.000 0.000
0.000 4.800 0.000
0.000 0.000 5.023
Zn Fe Bi Br
1 2 1 1
Cartesian
0.000 0.000 0.000 Zn
0.000 2.400 0.000 Fe
2.400 0.000 0.000 Fe
2.400 2.400 2.511 Bi
0.000 0.000 2.511 Br
```

Calculated values
- E_form (uncorrected) (eV/atom) = 1.045
- calculated density (g cm⁻³) = 6.69


# 10
Here is Er12Tm5Al2 after structural relaxation from the Alexandria database. Energies are from PBE.

Geometry as POSCAR:
```
Er12Tm5Al2
1.0
7.469 -4.612 0.000
7.469 4.612 0.000
-0.286 0.000 8.107
Er Tm Al
12 5 2
Cartesian
0.693 0.000 2.595 Er
5.497 2.792 2.691 Er
5.082 1.717 6.253 Er
9.156 2.792 5.416 Er
6.234 0.000 0.976 Er
9.571 1.717 1.854 Er
5.082 -1.717 6.253 Er
8.419 0.000 7.131 Er
5.497 -2.792 2.691 Er
9.571 -1.717 1.854 Er
9.156 -2.792 5.416 Er
13.960 0.000 5.513 Er
2.808 0.000 0.085 Tm
3.861 0.000 3.448 Tm
7.327 0.000 4.054 Tm
10.792 0.000 4.659 Tm
11.845 0.000 8.022 Tm
7.469 3.005 0.000 Al
7.469 -3.005 0.000 Al
```

Calculated values
- formation enthalpy at 0 K (eV per atom) = 0.022
- calculated density (g cm⁻³) = 8.64


# 11
Here is Ca3AuS after structural relaxation from the Alexandria database. Energies are from PBE.

Geometry as POSCAR:
```
Ca3AuS
1.0
5.308 0.000 0.000
0.000 5.308 0.000
0.000 0.000 5.308
Ca Au S
3 1 1
Cartesian
0.000 0.000 2.654 Ca
0.000 2.654 0.000 Ca
2.654 0.000 0.000 Ca
2.654 2.654 2.654 Au
0.000 0.000 0.000 S
```

Calculated values
- E_form (uncorrected) (eV/atom) = -0.859
- relative energy among the computed polymorphs (meV per atom) = 0.0
- calculated density (g cm⁻³) = 3.88


# 12
Here is Cs4Sm3TlO8 after structural relaxation from the Alexandria database. Energies are from PBE.

Geometry as POSCAR:
```
Cs4Sm3TlO8
1.0
3.640 2.102 6.924
-3.640 2.102 6.924
0.000 -4.204 6.924
Cs Sm Tl O
4 3 1 8
Cartesian
0.000 0.000 0.000 Cs
-1.820 -1.051 6.924 Cs
-1.820 1.051 13.848 Cs
0.000 2.102 6.924 Cs
-3.640 0.000 10.386 Sm
-1.820 1.051 3.462 Sm
1.820 1.051 3.462 Sm
0.000 0.000 10.386 Tl
-1.843 -1.064 11.585 O
0.000 0.000 4.609 O
0.000 -2.128 9.187 O
-1.843 1.064 9.187 O
1.843 -1.064 11.585 O
0.000 2.128 11.585 O
0.000 0.000 16.162 O
1.843 1.064 9.187 O
```

Calculated values
- E_form (uncorrected) (eV/atom) = -2.117
- calculated density (g cm⁻³) = 6.87


# 13
Here is RbPuCdO4 after structural relaxation from the Alexandria database. Energies are from PBE.

Geometry as POSCAR:
```
RbPuCdO4
1.0
5.954 0.000 0.000
0.000 6.691 0.000
-2.358 0.000 7.149
Rb Pu Cd O
2 2 2 8
Cartesian
0.469 1.673 3.015 Rb
3.127 5.018 4.134 Rb
0.621 5.018 6.993 Pu
2.975 1.673 0.156 Pu
-0.028 5.018 0.614 Cd
3.624 1.673 6.535 Cd
-0.315 1.673 5.594 O
-0.206 5.018 5.303 O
1.497 3.368 0.684 O
1.497 6.668 0.684 O
2.099 0.023 6.465 O
2.099 3.322 6.465 O
3.802 1.673 1.847 O
3.911 5.018 1.556 O
```

Calculated values
- E_form (uncorrected) (eV/atom) = -1.908
- calculated density (g cm⁻³) = 5.90


# 14
Here is BaPd3Ru after structural relaxation from the Alexandria database. Energies are from PBE.

Geometry as POSCAR:
```
BaPd3Ru
1.0
5.287 0.000 0.000
0.000 5.287 0.000
0.000 0.000 5.287
Ba Pd Ru
1 3 1
Cartesian
0.000 0.000 0.000 Ba
0.000 0.000 2.643 Pd
0.000 2.643 0.000 Pd
2.643 0.000 0.000 Pd
2.643 2.643 2.643 Ru
```

Calculated values
- formation enthalpy at 0 K (eV per atom) = 1.761
- relative energy among the computed polymorphs (meV per atom) = 1417.5
- calculated density (g cm⁻³) = 6.27


# 15
Here is Pm8Ge2Rh after structural relaxation from the Alexandria database. Energies are from PBE.

Geometry as POSCAR:
```
Pm8Ge2Rh
1.0
9.519 -2.404 0.000
9.519 2.404 0.000
-1.456 0.000 6.832
Pm Ge Rh
8 2 1
Cartesian
-0.030 0.000 1.923 Pm
2.894 0.000 5.695 Pm
5.873 0.000 3.410 Pm
7.691 0.000 0.130 Pm
9.892 0.000 6.702 Pm
11.711 0.000 3.422 Pm
14.689 0.000 1.137 Pm
17.613 0.000 4.909 Pm
3.108 0.000 1.745 Ge
14.476 0.000 5.087 Ge
8.792 0.000 3.416 Rh
```

Calculated values
- formation enthalpy at 0 K (eV per atom) = -0.433
- calculated density (g cm⁻³) = 7.48


# 16
Here is CeGePd2 after structural relaxation from the Alexandria database. Energies are from PBE.

Geometry as POSCAR:
```
CeGePd2
1.0
3.567 0.000 0.000
0.000 4.259 0.000
0.000 0.000 5.473
Ce Ge Pd
1 1 2
Cartesian
0.000 0.000 0.000 Ce
1.783 0.000 2.737 Ge
1.783 2.129 1.359 Pd
1.783 2.129 4.114 Pd
```

Calculated values
- formation enthalpy at 0 K (eV per atom) = -0.604
- calculated density (g cm⁻³) = 8.50


# 17
Here is CrRu3Cl after structural relaxation from the Alexandria database. Energies are from PBE.

Geometry as POSCAR:
```
CrRu3Cl
1.0
4.293 0.000 0.000
0.000 4.293 0.000
0.000 0.000 4.293
Cr Ru Cl
1 3 1
Cartesian
0.000 0.000 0.000 Cr
0.000 2.147 2.147 Ru
2.147 0.000 2.147 Ru
2.147 2.147 0.000 Ru
2.147 2.147 2.147 Cl
```

Calculated values
- E_form (uncorrected) (eV/atom) = 1.472
- relative energy among the computed polymorphs (meV per atom) = 0.0
- calculated density (g cm⁻³) = 8.20


# 18
Here is TeH3S after structural relaxation from the Alexandria database. Energies are from PBE.

Geometry as POSCAR:
```
TeH3S
1.0
3.912 0.000 0.000
0.000 3.912 0.000
0.000 0.000 3.912
Te H S
1 3 1
Cartesian
0.000 0.000 0.000 Te
0.000 0.000 1.956 H
0.000 1.956 0.000 H
1.956 0.000 0.000 H
1.956 1.956 1.956 S
```

Calculated values
- relative energy among the computed polymorphs (meV per atom) = 794.9
- calculated density (g cm⁻³) = 4.51


# 19
Here is Te2RhWCl after structural relaxation from the Alexandria database. Energies are from PBE.

Geometry as POSCAR:
```
Te2RhWCl
1.0
5.281 0.000 0.000
0.000 5.281 0.000
0.000 0.000 4.300
Te Rh W Cl
2 1 1 1
Cartesian
0.000 2.640 0.000 Te
2.640 0.000 0.000 Te
0.000 0.000 2.150 Rh
2.640 2.640 2.150 W
2.640 2.640 0.000 Cl
```

Calculated values
- E_form (uncorrected) (eV/atom) = 1.706
- calculated density (g cm⁻³) = 8.00